BeCr2Co | GGA-PBEsol | optimized geometry

The structure in extended XYZ format:
```
4
Lattice="-1.406 1.957 3.696 1.406 -1.957 3.696 1.406 1.957 -3.696" Properties=species:S:1:pos:R:3 pbc="T T T"
Be 0.000 0.000 0.000
Cr 0.000 0.000 3.700
Cr 0.000 1.957 1.718
Co 1.406 0.000 1.806
```

* ΔH_f (0 K): 0.0614 eV per atom
* energy: -32.0 eV/cell
* calculated density: 7.02 g cm⁻³
* magnetic moment: 1.05 μB/f.u.

---

Cs2BeCoRh | GGA-PBEsol | optimized geometry

The structure in extended XYZ format:
```
5
Lattice="6.299 0.000 0.000 0.000 6.299 0.000 0.000 0.000 4.344" Properties=species:S:1:pos:R:3 pbc="T T T"
Cs 0.000 3.149 0.000
Cs 3.149 0.000 0.000
Be 0.000 0.000 2.172
Co 3.149 3.149 0.000
Rh 3.149 3.149 2.172
```

* ΔH_f (0 K): 1.3846 eV per atom
* energy: -14.8 eV/cell
* calculated density: 4.21 g cm⁻³
* magnetic moment: 1.44 μB/f.u.

---

Cs2ScBeCo | GGA-PBEsol | optimized geometry

The structure in extended XYZ format:
```
5
Lattice="6.844 0.000 0.000 0.000 6.844 0.000 0.000 0.000 4.237" Properties=species:S:1:pos:R:3 pbc="T T T"
Cs 0.000 3.422 0.000
Cs 3.422 0.000 0.000
Sc 0.000 0.000 0.000
Be 3.422 3.422 2.119
Co 0.000 0.000 2.119
```

* ΔH_f (0 K): 1.3235 eV per atom
* energy: -13.6 eV/cell
* calculated density: 3.17 g cm⁻³
* magnetic moment: 0.00 μB/f.u.

---

Be3CoCu | GGA-PBEsol | optimized geometry

The structure in extended XYZ format:
```
5
Lattice="3.841 0.000 0.000 0.000 3.841 0.000 0.000 0.000 3.841" Properties=species:S:1:pos:R:3 pbc="T T T"
Be 0.000 0.000 1.920
Be 0.000 1.920 0.000
Be 1.920 0.000 0.000
Co 0.000 0.000 0.000
Cu 1.920 1.920 1.920
```

* ΔH_f (0 K): 0.6420 eV per atom
* energy: -20.9 eV/cell
* calculated density: 4.38 g cm⁻³
* magnetic moment: 0.00 μB/f.u.